1.
This record from Alexandria describes crystalline Ba2AsCl at its relaxed geometry. The functional is PBE.

abc: 6.5220 4.7448 4.7444
angles: 89.99 90.00 90.00
Last column: nearest neighbours and their distance in Å.
Element x y z (fractional)
As 0.5000 0.8750 0.8749  6 Ba 3.26-3.36
Ba 0.0000 0.8748 0.8749  2 As 3.26, 4 Cl 3.35-3.36
Ba 0.5000 0.3747 0.3749  2 Cl 3.26, 4 As 3.35-3.36
Cl 0.0000 0.3755 0.3753  6 Ba 3.26-3.36

Values from the calculation:
- energy relative to the elements, uncorrected (meV per atom) = -1625
- space-group type = P4/mmm, No. 123
- mass density (Mg/m³) = 4.35
- E_tot (Ry/atom) = -0.3095

2.
This record from Alexandria describes crystalline BaAsCl2 at its relaxed geometry. The functional is PBE.

abc: 5.9591 5.9591 5.9591
angles: 142.65 119.82 73.00
Last column: nearest neighbours and their distance in Å.
Element x y z (fractional)
As 0.7500 0.2500 0.5000  4 Cl 2.94
Ba 0.2500 0.7500 0.5000  4 Cl 3.19, 4 As 3.54
Cl 0.9830 0.9830 0.0000  2 As 2.94, 2 Ba 3.19
Cl 0.5170 0.5170 0.0000  2 As 2.94, 2 Ba 3.19

Values from the calculation:
- energy relative to the elements, uncorrected (meV per atom) = -1029
- space-group type = Immm, No. 71
- mass density (Mg/m³) = 4.30
- E_tot (Ry/atom) = -0.2643
- energy above the lowest structure with this stoichiometry (meV per atom) = 200

3.
This record from Alexandria describes crystalline BaAsCl at its relaxed geometry. The functional is PBE.

abc: 4.6690 4.6690 11.2746
angles: 90.00 90.00 120.00
Last column: nearest neighbours and their distance in Å.
Element x y z (fractional)
Ba 0.0000 0.0000 0.2132  3 Cl 3.09
Ba 0.0000 0.0000 0.7868  3 Cl 3.09
As 0.6667 0.3333 0.0169  3 As 2.72
As 0.3333 0.6667 0.9831  3 As 2.72
Cl 0.3333 0.6667 0.3463  3 Ba 3.09
Cl 0.6667 0.3333 0.6537  3 Ba 3.09

Values from the calculation:
- energy relative to the elements, uncorrected (meV per atom) = -1582
- space-group type = P-3m1, No. 164
- mass density (Mg/m³) = 3.86
- E_tot (Ry/atom) = -0.3225
- energy above the lowest structure with this stoichiometry (meV per atom) = 0